{"formula": "Ba2BeSi", "functional": "GGA-PBE", "state": "optimized geometry", "lattice_angstrom": [[-0.634, -2.519, 4.344], [3.203, -1.230, 3.721], [-1.173, 6.074, 5.333]], "species": ["Si", "Ba", "Ba", "Be"], "fractional_positions": [[0.250, 0.250, 0.250], [0.994, 0.994, 0.013], [0.506, 0.506, 0.487], [0.750, 0.750, 0.750]], "space_group": "C2/m (12)", "magnetic_moment_mub_per_cell": 0.35, "raw_formation_energy_ev_per_atom": 0.49, "de_polymorph_ev_per_fu": 2.57}

{"formula": "Hf2NpAs3", "functional": "GGA-PBE", "state": "optimized geometry", "lattice_angstrom": [[5.523, 0.000, 0.000], [0.000, 5.254, -1.780], [0.000, 0.039, 8.759]], "species": ["Np", "Np", "As", "As", "As", "As", "As", "As", "Hf", "Hf", "Hf", "Hf"], "fractional_positions": [[0.000, 0.332, 0.663], [0.000, 0.668, 0.337], [0.500, 0.000, 0.000], [0.500, 0.334, 0.668], [0.000, 0.500, 0.000], [0.000, 0.162, 0.323], [0.000, 0.838, 0.677], [0.500, 0.666, 0.332], [0.500, 0.835, 0.670], [0.500, 0.165, 0.330], [0.000, 0.000, 0.000], [0.500, 0.500, 0.000]], "space_group": "Cmmm (65)", "magnetic_moment_mub_per_cell": 7.93, "formation_enthalpy_0k_mev_per_atom": -852}

{"formula": "GaNi2Ge2", "functional": "GGA-PBE", "state": "optimized geometry", "lattice_angstrom": [[7.152, 0.000, 0.000], [0.000, 7.152, 0.000], [0.000, 0.000, 2.831]], "species": ["Ga", "Ga", "Ge", "Ge", "Ge", "Ge", "Ni", "Ni", "Ni", "Ni"], "fractional_positions": [[0.000, 0.000, 0.000], [0.500, 0.500, 0.000], [0.837, 0.337, 0.500], [0.163, 0.663, 0.500], [0.663, 0.837, 0.500], [0.337, 0.163, 0.500], [0.132, 0.368, 0.000], [0.632, 0.132, 0.000], [0.368, 0.868, 0.000], [0.868, 0.632, 0.000]], "space_group": "P4/mbm (127)", "magnetic_moment_mub_per_cell": 0.00, "formation_enthalpy_0k_mev_per_atom": -65, "de_polymorph_ev_per_fu": 0.77}

{"formula": "La2GaPb", "functional": "GGA-PBE", "state": "optimized geometry", "lattice_angstrom": [[-0.908, -0.573, 5.428], [1.979, 3.756, 3.547], [-3.463, 3.440, 2.604]], "species": ["La", "La", "Ga", "Pb"], "fractional_positions": [[0.750, 0.750, 0.750], [0.250, 0.250, 0.250], [0.000, 0.000, 0.000], [0.500, 0.500, 0.500]], "space_group": "Fm-3m (225)", "magnetic_moment_mub_per_cell": 0.00, "formation_enthalpy_0k_mev_per_atom": -517, "de_polymorph_ev_per_fu": 0.35}

{"formula": "GdDyCuHg", "functional": "GGA-PBE", "state": "optimized geometry", "lattice_angstrom": [[-3.199, 1.908, -3.540], [0.835, -0.927, -4.985], [-3.135, -3.141, -2.590]], "species": ["Dy", "Cu", "Gd", "Hg"], "fractional_positions": [[0.750, 0.750, 0.750], [0.000, 0.000, 0.000], [0.250, 0.250, 0.250], [0.500, 0.500, 0.500]], "space_group": "F-43m (216)", "magnetic_moment_mub_per_cell": 7.08, "formation_enthalpy_0k_mev_per_atom": -324}

{"formula": "CdAsSe2N", "functional": "GGA-PBE", "state": "optimized geometry", "lattice_angstrom": [[5.246, 0.000, 0.000], [0.000, 5.246, 0.000], [0.000, 0.000, 3.653]], "species": ["Se", "Se", "As", "Cd", "N"], "fractional_positions": [[0.000, 0.500, 0.000], [0.500, 0.000, 0.000], [0.000, 0.000, 0.000], [0.500, 0.500, 0.500], [0.000, 0.000, 0.500]], "space_group": "P4/mmm (123)", "magnetic_moment_mub_per_cell": 0.00, "raw_formation_energy_ev_per_atom": 0.62, "de_polymorph_ev_per_fu": 0.00}

{"formula": "ErBe4Fe", "functional": "GGA-PBE", "state": "optimized geometry", "lattice_angstrom": [[-4.070, 0.528, -2.042], [-1.220, -2.782, -3.433], [-3.304, -3.113, 0.636]], "species": ["Be", "Be", "Be", "Be", "Fe", "Er"], "fractional_positions": [[0.629, 0.629, 0.114], [0.629, 0.629, 0.629], [0.629, 0.114, 0.629], [0.114, 0.629, 0.629], [0.000, 0.000, 0.000], [0.250, 0.250, 0.250]], "space_group": "F-43m (216)", "magnetic_moment_mub_per_cell": 1.01, "formation_enthalpy_0k_mev_per_atom": -45}

{"formula": "Cu2WAu", "functional": "GGA-PBE", "state": "optimized geometry", "lattice_angstrom": [[8.952, -0.024, -0.014], [8.522, 2.741, -0.014], [8.522, 1.325, 2.399]], "species": ["W", "Cu", "Cu", "Au"], "fractional_positions": [[0.250, 0.250, 0.250], [0.999, 0.999, 0.999], [0.501, 0.501, 0.501], [0.750, 0.750, 0.750]], "space_group": "R-3m (166)", "magnetic_moment_mub_per_cell": 0.00, "formation_enthalpy_0k_mev_per_atom": 268, "de_polymorph_ev_per_fu": 0.30}

| no. | E_tot (eV for the cell shown) |
| --- | --- |
| 1 | -11.04 |
| 2 | -103.81 |
| 3 | -48.30 |
| 4 | -18.66 |
| 5 | -24.38 |
| 6 | -17.75 |
| 7 | -28.20 |
| 8 | -23.35 |